The following is a DFT calculation (PBE) of an optimized crystal structure of LiCdIr2.

Space-group type: P2/m, No. 10
Total moment (μB per atom): 0.000
DOS(E_F) (states/eV/f.u.): 3.11
Total DFT energy (no corrections) (eV/atom): -5.15
Theoretical density (g/cm3): 13.74

Cell: 4.3617 2.7551 5.2321 Å, 75.60 90.00 90.00°
Closest atoms and distances in Å follow each position.
Sites, in units of the cell vectors:
Ir: 0.0000 0.0962 0.0293  2 Li 2.55, 5 Ir 2.60-2.83
Ir: 0.0000 0.4038 0.4707  2 Li 2.55, 5 Ir 2.60-2.83
Cd: 0.5000 0.7500 0.7500  2 Li 2.64, 2 Cd 2.76, 4 Ir 2.91
Li: 0.5000 0.2500 0.2500  4 Ir 2.55, 2 Cd 2.64, 2 Li 2.76